DyNpNiS4: optimized geometry, GGA-PBE.

Cell lengths 6.433, 5.643, 7.649 Å; angles 90.00, 106.44, 90.00 degrees
Fractional coordinates of all 14 atoms:
Dy  0.734  0.750  0.933
Dy  0.266  0.250  0.067
Np  0.754  0.750  0.440
Np  0.246  0.250  0.560
Ni  0.240  0.750  0.323
Ni  0.760  0.250  0.677
S  0.016  0.511  0.756
S  0.984  0.011  0.244
S  0.984  0.489  0.244
S  0.016  0.989  0.756
S  0.431  0.750  0.117
S  0.569  0.250  0.883
S  0.428  0.750  0.608
S  0.572  0.250  0.392

- VASP energy: -6.99 eV/atom
- V: 266 Å³ per cell